Entry from Alexandria: a geometry-optimized RbAlVO4 structure (GGA+U).

```
RbAlVO4
1.0
-2.401 -2.749 3.905
4.355 -3.437 0.257
4.891 6.324 1.708
Rb Al V O
2 2 2 8
Direct
0.591 0.750 0.915 Rb
0.409 0.250 0.085 Rb
0.247 0.750 0.362 Al
0.753 0.250 0.638 Al
0.817 0.750 0.476 V
0.183 0.250 0.524 V
0.008 0.474 0.648 O
0.992 0.974 0.352 O
0.992 0.526 0.352 O
0.008 0.026 0.648 O
0.437 0.750 0.236 O
0.563 0.250 0.764 O
0.574 0.750 0.584 O
0.426 0.250 0.416 O
```

Properties
* V: 208.17 Å³/cell
* VASP energy: -6.73 eV per atom
* magnetization: 0.14 μB per atom